Entry 1:
The following is a DFT calculation (PBE) of AlTcSn2 after structural relaxation.

Cell: 6.3605 6.3605 11.7979 Å, 90.00 90.00 90.00°
Fractional positions:
1 Al 0.0000 0.0000 0.0000
2 Al 0.0000 0.5000 0.2500
3 Al 0.5000 0.0000 0.7500
4 Al 0.5000 0.5000 0.5000
5 Tc 0.0000 0.0000 0.5000
6 Tc 0.0000 0.5000 0.7500
7 Tc 0.5000 0.0000 0.2500
8 Tc 0.5000 0.5000 0.0000
9 Sn 0.2323 0.2500 0.6250
10 Sn 0.2500 0.7323 0.8750
11 Sn 0.2500 0.7677 0.3750
12 Sn 0.2677 0.2500 0.1250
13 Sn 0.7323 0.7500 0.1250
14 Sn 0.7500 0.2323 0.3750
15 Sn 0.7500 0.2677 0.8750
16 Sn 0.7677 0.7500 0.6250

Entry 2:
The following is a DFT calculation (PBE) of AlTc2Sn after structural relaxation.

Cell: 7.1370 7.1370 5.5618 Å, 90.00 90.00 90.00°
Fractional positions:
1 Al 0.0000 0.0000 0.0000
2 Al 0.0000 0.5000 0.2500
3 Al 0.5000 0.0000 0.7500
4 Al 0.5000 0.5000 0.5000
5 Tc 0.2210 0.7500 0.1250
6 Tc 0.2500 0.2210 0.8750
7 Tc 0.2500 0.2790 0.3750
8 Tc 0.2790 0.7500 0.6250
9 Tc 0.7210 0.2500 0.6250
10 Tc 0.7500 0.7210 0.3750
11 Tc 0.7500 0.7790 0.8750
12 Tc 0.7790 0.2500 0.1250
13 Sn 0.0000 0.0000 0.5000
14 Sn 0.0000 0.5000 0.7500
15 Sn 0.5000 0.0000 0.2500
16 Sn 0.5000 0.5000 0.0000

ΔE to the lowest computed polymorph = 2.40 eV/f.u.

Entry 3:
The following is a DFT calculation (PBE) of Al2Tc2Sn after structural relaxation.

Cell: 3.5432 3.5432 13.4367 Å, 90.00 90.00 90.00°
Fractional positions:
1 Al 0.0000 0.5000 0.2500
2 Al 0.0000 0.5000 0.7500
3 Al 0.5000 0.0000 0.2500
4 Al 0.5000 0.0000 0.7500
5 Tc 0.0000 0.0000 0.1058
6 Tc 0.0000 0.0000 0.8942
7 Tc 0.5000 0.5000 0.3942
8 Tc 0.5000 0.5000 0.6058
9 Sn 0.0000 0.0000 0.5000
10 Sn 0.5000 0.5000 0.0000

ΔE to the lowest computed polymorph = 1.06 eV/f.u.

Number 1: E_form 0.822 eV per atom, total magnetic moment 5.38 Bohr magnetons per cell. Number 2: E_form 0.584 eV per atom, total magnetic moment 8.37 Bohr magnetons per cell. Number 3: E_form 0.050 eV per atom, total magnetic moment 0.00 Bohr magnetons per cell.